This record from Alexandria describes a relaxed FeCuB2 crystal. The functional is PBE.

Cell lengths 4.612, 4.612, 8.745 Å; angles 90.00, 90.00, 90.00 degrees
Space group I-42d (No. 122)
One atom of each set of equivalent atoms:
Fe 0.000 0.000 0.000
Cu 0.000 0.000 0.500
B 0.217 0.250 0.125

Output
DOS(E_F) ... 9.812 states/eV/cell
Final energy ... -5.60 eV/atom
DFT formation energy ... 0.88 eV/atom

This record from Alexandria describes a relaxed FeCuB2 crystal. The functional is PBE.

Cell lengths 5.095, 5.095, 5.095 Å; angles 90.00, 90.00, 90.00 degrees
Space group Fm-3m (No. 225)
One atom of each set of equivalent atoms:
Fe 0.000 0.000 0.000
Cu 0.000 0.000 0.500
B 0.250 0.250 0.250

Output
DOS(E_F) ... 4.558 states/eV/cell
Final energy ... -6.05 eV/atom
DFT formation energy ... 0.43 eV/atom

This record from Alexandria describes a relaxed FeCuB3 crystal. The functional is PBE.

Cell lengths 3.767, 3.767, 3.767 Å; angles 90.00, 90.00, 90.00 degrees
Space group Pm-3m (No. 221)
One atom of each set of equivalent atoms:
Fe 0.000 0.000 0.000
Cu 0.500 0.500 0.500
B 0.000 0.500 0.500

Output
DOS(E_F) ... 4.990 states/eV/cell
Final energy ... -4.87 eV/atom
DFT formation energy ... 1.65 eV/atom

This record from Alexandria describes a relaxed Fe2Cu2B crystal. The functional is PBE.

Cell lengths 5.217, 5.217, 4.099 Å; angles 90.00, 90.00, 90.00 degrees
Space group P4/mbm (No. 127)
One atom of each set of equivalent atoms:
Fe 0.153 0.347 0.000
Cu 0.165 0.665 0.500
B 0.000 0.000 0.000

Output
DOS(E_F) ... 5.964 states/eV/cell
Final energy ... -6.16 eV/atom
DFT formation energy ... 0.20 eV/atom